Entry 1:
Entry from Alexandria: a relaxed structure of TbTiAl4 (PBE-GGA).

Structure (CIF):
```
data_TbTiAl4
_chemical_formula_sum 'Tb4 Ti4 Al16'
_cell_length_a 7.6014
_cell_length_b 7.6014
_cell_length_c 7.6014
_cell_angle_alpha 90.00
_cell_angle_beta 90.00
_cell_angle_gamma 90.00
_space_group_name_H-M_alt 'F -4 3 m'
_space_group_IT_number 216
_space_group_name_Hall 'F -4 2 3'
loop_
_atom_site_label
_atom_site_type_symbol
_atom_site_fract_x
_atom_site_fract_y
_atom_site_fract_z
_atom_site_occupancy
Tb1 Tb 0.0000 0.0000 0.0000 1
Ti1 Ti 0.2500 0.2500 0.7500 1
Al1 Al 0.1246 0.1246 0.3754 1
```

Calculated values
E_form: -0.381 eV/atom
ρ: 4.76 Mg/m³
crystal system: cubic


Entry 2:
Entry from Alexandria: a relaxed structure of TbTiAl2 (PBE-GGA).

Structure (CIF):
```
data_TbTiAl2
_chemical_formula_sum 'Tb1 Ti1 Al2'
_cell_length_a 3.4528
_cell_length_b 3.4528
_cell_length_c 6.6359
_cell_angle_alpha 90.00
_cell_angle_beta 90.00
_cell_angle_gamma 90.00
_space_group_name_H-M_alt 'P 4/m m m'
_space_group_IT_number 123
_space_group_name_Hall '-P 4 2'
loop_
_atom_site_label
_atom_site_type_symbol
_atom_site_fract_x
_atom_site_fract_y
_atom_site_fract_z
_atom_site_occupancy
Tb1 Tb 0.0000 0.0000 0.0000 1
Ti1 Ti 0.0000 0.0000 0.5000 1
Al1 Al 0.5000 0.5000 0.2961 1
```

Calculated values
E_form: -0.310 eV/atom
ρ: 5.47 Mg/m³
offset from the most stable computed form: 0 meV/atom
crystal system: tetragonal


Entry 3:
Entry from Alexandria: a relaxed structure of TbTi2Al8 (PBE-GGA).

Structure (CIF):
```
data_TbTi2Al8
_chemical_formula_sum 'Tb2 Ti4 Al16'
_cell_length_a 4.9688
_cell_length_b 5.5675
_cell_length_c 14.1914
_cell_angle_alpha 90.00
_cell_angle_beta 90.00
_cell_angle_gamma 90.00
_space_group_name_H-M_alt 'I m m m'
_space_group_IT_number 71
_space_group_name_Hall '-I 2 2'
loop_
_atom_site_label
_atom_site_type_symbol
_atom_site_fract_x
_atom_site_fract_y
_atom_site_fract_z
_atom_site_occupancy
Tb1 Tb 0.0000 0.0000 0.0000 1
Ti1 Ti 0.0000 0.5000 0.1790 1
Al1 Al 0.0000 0.0000 0.2071 1
Al2 Al 0.0000 0.2627 0.3651 1
Al3 Al 0.2439 0.5000 0.0000 1
```

Calculated values
E_form: -0.222 eV/atom
ρ: 3.98 Mg/m³
crystal system: orthorhombic


> Look up the E_form of the second one.

-0.310 eV/atom


> Which value of E_form does entry 1 give?

-0.381 eV/atom